The following is a PBEsol calculation of a relaxed NaMgAsSe2 crystal, from Alexandria.

Output
crystal system	tetragonal
space-group type	No. 123
E_form (uncorrected)	0.51	eV per atom

Unit cell a=5.0616 b=5.0616 c=4.8504 alpha=90.00 beta=90.00 gamma=90.00
Sites, in units of the cell vectors:
Na (0.0000, 0.0000, 0.0000)
Mg (0.5000, 0.5000, 0.5000)
As (0.0000, 0.0000, 0.5000)
Se (0.0000, 0.5000, 0.0000)
Se (0.5000, 0.0000, 0.0000)

The following is a PBEsol calculation of a relaxed Mg2NbAs2 crystal, from Alexandria.

Output
crystal system	tetragonal
space-group type	No. 139
energy relative to the elements	0.05	eV/atom

Unit cell a=3.6887 b=3.6887 c=13.1601 alpha=90.00 beta=90.00 gamma=90.00
Sites, in units of the cell vectors:
Mg (0.0000, 0.5000, 0.2500)
Mg (0.0000, 0.5000, 0.7500)
Mg (0.5000, 0.0000, 0.2500)
Mg (0.5000, 0.0000, 0.7500)
Nb (0.0000, 0.0000, 0.0000)
Nb (0.5000, 0.5000, 0.5000)
As (0.0000, 0.0000, 0.3985)
As (0.0000, 0.0000, 0.6015)
As (0.5000, 0.5000, 0.1015)
As (0.5000, 0.5000, 0.8985)

The following is a PBEsol calculation of a relaxed MgNbAs2Se crystal, from Alexandria.

Output
crystal system	tetragonal
space-group type	No. 123
excess energy over the best structure of this formula in the dataset	0	meV/atom
E_form (uncorrected)	0.07	eV per atom

Unit cell a=4.9625 b=4.9625 c=5.0174 alpha=90.00 beta=90.00 gamma=90.00
Sites, in units of the cell vectors:
Mg (0.0000, 0.0000, 0.0000)
Nb (0.5000, 0.5000, 0.5000)
As (0.0000, 0.5000, 0.5000)
As (0.5000, 0.0000, 0.5000)
Se (0.5000, 0.5000, 0.0000)

| no. | electronic total energy (eV for the cell shown) |
| --- | --- |
| 1 | -13.384 |
| 2 | -48.450 |
| 3 | -26.237 |